This record from the Open Quantum Materials Database describes a relaxed structure of ReNiBPd. The functional is GGA-PBE.

Unit cell a=5.829 b=5.829 c=5.829 alpha=90.00 beta=90.00 gamma=90.00
Space group F-43m (No. 216)
Inequivalent atoms, fractional coordinates:
Re 0.000 0.000 0.000 (multiplicity 4)
Ni 0.250 0.250 0.750 (multiplicity 4)
B 0.000 0.000 0.500 (multiplicity 4)
Pd 0.250 0.250 0.250 (multiplicity 4)

Calculated values
Crystal system = cubic
Total DFT energy (no corrections) = -6.576 eV/atom
ρ = 12.15 g/cm3
Polymorph energy (0 for the lowest one) = 517 meV/atom